No. 1
The following is a GGA-PBE calculation of an optimized crystal structure of TiAlTcAg, from Alexandria.

- crystal system = cubic
- symmetry = No. 216
- calculated total energy (eV/atom) = -6.405
- calculated formation energy (kJ per mole of atoms) = -18.4
- M_tot (μB per atom) = 0.00
- calculated volume (Å³ per cell) = 62.0

Lattice parameters (Å, degrees): 4.442 4.442 4.442 60.00 60.00 60.00
Element x y z (fractional)
Al1 0.500 0.500 0.500
Ag1 0.750 0.750 0.750
Tc1 0.250 0.250 0.250
Ti1 0.000 0.000 0.000

=====

No. 2
The following is a GGA-PBE calculation of an optimized crystal structure of TiAlTc2Ag, from Alexandria.

- crystal system = tetragonal
- symmetry = No. 123
- calculated total energy (eV/atom) = -5.254
- calculated formation energy (kJ per mole of atoms) = 172.8
- M_tot (μB per atom) = 0.47
- calculated volume (Å³ per cell) = 109.5

Lattice parameters (Å, degrees): 4.852 4.651 4.852 90.00 90.00 90.00
Each line ends with the local moment (μB).
Element x y z (fractional)
Tc1 0.000 0.000 0.500  1.92
Tc2 0.500 0.000 0.000  1.40
Ag1 0.000 0.000 0.000  0.07
Al1 0.500 0.500 0.500  -0.04
Ti1 0.000 0.500 0.000  -0.99

=====

No. 3
The following is a GGA-PBE calculation of an optimized crystal structure of Tm2Al5Tc2Ag, from Alexandria.

- crystal system = tetragonal
- symmetry = No. 127
- calculated total energy (eV/atom) = -5.341
- calculated formation energy (kJ per mole of atoms) = -21.0
- M_tot (μB per atom) = 0.00
- calculated volume (Å³ per cell) = 369.3

Lattice parameters (Å, degrees): 3.457 10.335 10.335 90.00 90.00 90.00
Element x y z (fractional)
Al1 0.500 0.701 0.447
Al2 0.500 0.947 0.201
Al3 0.500 0.201 0.053
Al4 0.500 0.553 0.701
Al5 0.500 0.000 0.500
Al6 0.500 0.053 0.799
Al7 0.500 0.500 0.000
Al8 0.500 0.447 0.299
Al9 0.500 0.799 0.947
Al10 0.500 0.299 0.553
Tm1 0.000 0.314 0.814
Tm2 0.000 0.686 0.186
Tm3 0.000 0.186 0.314
Tm4 0.000 0.814 0.686
Tc1 0.000 0.877 0.377
Tc2 0.000 0.377 0.123
Tc3 0.000 0.623 0.877
Tc4 0.000 0.123 0.623
Ag1 0.000 0.500 0.500
Ag2 0.000 0.000 0.000

=====

No. 4
The following is a GGA-PBE calculation of an optimized crystal structure of ZrAlTcAg, from Alexandria.

- crystal system = cubic
- symmetry = No. 216
- calculated total energy (eV/atom) = -6.514
- calculated formation energy (kJ per mole of atoms) = -13.2
- M_tot (μB per atom) = 0.00
- calculated volume (Å³ per cell) = 68.8

Lattice parameters (Å, degrees): 4.599 4.599 4.599 60.00 60.00 60.00
Element x y z (fractional)
Tc1 0.500 0.500 0.500
Al1 0.250 0.250 0.250
Zr1 0.750 0.750 0.750
Ag1 0.000 0.000 0.000